1.
The following is a PBE calculation of a relaxed structure of Sc5Cd, from Alexandria.

E above lowest polymorph	245	meV per atom
uncorrected energy	-5.25	eV/atom
symmetry	F-43m, No. 216

Cell lengths 5.9126, 5.9126, 5.9126 Å; angles 60.00, 60.00, 60.00 degrees
Closest atoms and distances in Å follow each position.
Atoms (fractional coordinates):
1 Cd 0.0000 0.0000 0.0000  16 Sc 3.47-3.62
2 Sc 0.7500 0.7500 0.7500  12 Sc 3.46, 4 Cd 3.62
3 Sc 0.8719 0.3760 0.3760  6 Sc 2.93-2.98
4 Sc 0.3760 0.8719 0.3760  6 Sc 2.93-2.98
5 Sc 0.3760 0.3760 0.8719  6 Sc 2.93-2.98
6 Sc 0.3760 0.3760 0.3760  6 Sc 2.93-2.98



2.
The following is a PBE calculation of a relaxed structure of Sc3Cd, from Alexandria.

E above lowest polymorph	5	meV per atom
uncorrected energy	-5.11	eV/atom
symmetry	Imma, No. 74

Cell lengths 6.3681, 6.3681, 6.3681 Å; angles 91.43, 119.06, 119.29 degrees
Closest atoms and distances in Å follow each position.
Atoms (fractional coordinates):
1 Sc 0.0000 0.7253 0.2253  4 Cd 3.04-3.34, 8 Sc 3.20-3.25
2 Sc 0.0000 0.2747 0.7747  4 Cd 3.04-3.34, 8 Sc 3.20-3.25
3 Sc 0.4516 0.2016 0.7500  3 Cd 2.90-3.24, 8 Sc 3.20-3.21
4 Sc 0.5484 0.7984 0.2500  3 Cd 2.90-3.24, 8 Sc 3.20-3.21
5 Cd 0.9991 0.2491 0.2500  7 Sc 2.90-3.24
6 Sc 0.5000 0.2747 0.2747  4 Cd 3.04-3.34, 8 Sc 3.20-3.25
7 Cd 0.0009 0.7509 0.7500  7 Sc 2.90-3.24
8 Sc 0.5000 0.7253 0.7253  4 Cd 3.04-3.34, 8 Sc 3.20-3.25



3.
The following is a PBE calculation of a relaxed structure of Sc3Cd, from Alexandria.

E above lowest polymorph	56	meV per atom
uncorrected energy	-5.06	eV/atom
symmetry	I4/mmm, No. 139

Cell lengths 4.4918, 4.4918, 5.5820 Å; angles 66.27, 66.27, 90.00 degrees
Closest atoms and distances in Å follow each position.
Atoms (fractional coordinates):
1 Sc 0.2500 0.7500 0.5000  8 Sc 3.18-3.21, 4 Cd 3.21
2 Sc 0.7500 0.2500 0.5000  8 Sc 3.18-3.21, 4 Cd 3.21
3 Sc 0.5000 0.5000 0.0000  4 Cd 3.18, 8 Sc 3.21
4 Cd 0.0000 0.0000 0.0000  12 Sc 3.18-3.21



Number 1: calculated formation energy 0.18 eV/atom, Fermi-level density of states 6.268 states/eV/cell, volume 24.4 A^3/atom. Number 2: calculated formation energy -0.13 eV/atom, Fermi-level density of states 9.047 states/eV/cell, volume 23.1 A^3/atom. Number 3: calculated formation energy -0.08 eV/atom, Fermi-level density of states 6.779 states/eV/cell, volume 23.2 A^3/atom.